Entry A
Computed, not measured: crystalline HoAl2Tc at its relaxed geometry at the GGA-PBE level of DFT.

a = 7.142 Å, b = 7.142 Å, c = 7.142 Å
α = 30.06°, β = 30.06°, γ = 30.06°
Sites, in units of the cell vectors:
Ho (0.000, 0.000, 0.000)
Al (0.231, 0.231, 0.231)
Al (0.769, 0.769, 0.769)
Tc (0.500, 0.500, 0.500)

Calculated values
Mass density = 6.50 g/cm³

***

Entry B
Computed, not measured: crystalline HoAl2Tc at its relaxed geometry at the GGA-PBE level of DFT.

a = 3.215 Å, b = 3.215 Å, c = 7.035 Å
α = 90.00°, β = 90.00°, γ = 90.00°
Sites, in units of the cell vectors:
Ho (0.000, 0.000, 0.000)
Al (0.500, 0.500, 0.311)
Al (0.500, 0.500, 0.689)
Tc (0.000, 0.000, 0.500)

Calculated values
Mass density = 7.24 g/cm³

***

Among the structures above, stability is greatest for entry B.